VASP calculation (SCAN) on a PBEsol-optimized structure of La2Rh7.

Results
The formation energy comes out at -0.504 eV/atom. The value obtained for the density of states at the Fermi level is 35.8 states/eV/cell.

Cell lengths 5.2543, 5.2543, 26.0747 Å; angles 90.00, 90.00, 120.00 degrees
With the nearest neighbours (Å) after each atom.
Space group P6_3/mmc (No. 194)
Inequivalent atoms, fractional coordinates:
La 0.3333 0.6667 0.0289  12 Rh 3.02-3.36
La 0.3333 0.6667 0.1737  12 Rh 3.04-3.30
Rh 0.0000 0.0000 0.0000  6 Rh 2.71
Rh 0.0000 0.0000 0.1676  6 Rh 2.61-2.63
Rh 0.1666 0.3333 0.5861  7 Rh 2.60-2.71
Rh 0.1665 0.3330 0.7500  8 Rh 2.62-2.64
Rh 0.3333 0.6667 0.6670  6 Rh 2.60-2.64